[1]
# PBE ZnCrCl2, relaxed
data_ZnCrCl2
_chemical_formula_sum 'Zn1 Cr1 Cl2'
_space_group_name_H-M_alt 'P 1'
_space_group_IT_number 1
_cell_length_a 5.001
_cell_length_b 5.044
_cell_length_c 5.090
_cell_angle_alpha 62.17
_cell_angle_beta 85.64
_cell_angle_gamma 117.22
loop_
_space_group_symop_operation_xyz
'x,y,z'
loop_
_atom_site_label
_atom_site_type_symbol
_atom_site_fract_x
_atom_site_fract_y
_atom_site_fract_z
_atom_site_occupancy
Cr1 Cr 0.000 0.500 0.500 1
Zn1 Zn 0.500 0.500 0.000 1
Cl1 Cl 0.000 0.000 0.000 1
Cl2 Cl 0.500 0.000 0.500 1
# Spin magnetization: 1.154 μB/atom
# N(E_F): 0.365 states/eV per atom
# Uncorrected formation energy: -136.6 meV/atom
# Mass density: 3.331 Mg/m³
# E above lowest polymorph: 346.7 meV/atom


[2]
# PBE CoOs2Ru, relaxed
data_CoOs2Ru
_chemical_formula_sum 'Co1 Os2 Ru1'
_space_group_name_H-M_alt 'P 1'
_space_group_IT_number 1
_cell_length_a 5.287
_cell_length_b 5.287
_cell_length_c 5.287
_cell_angle_alpha 150.07
_cell_angle_beta 131.62
_cell_angle_gamma 57.94
loop_
_space_group_symop_operation_xyz
'x,y,z'
loop_
_atom_site_label
_atom_site_type_symbol
_atom_site_fract_x
_atom_site_fract_y
_atom_site_fract_z
_atom_site_occupancy
Co1 Co 0.250 0.750 0.500 1
Os1 Os 0.032 0.032 0.000 1
Os2 Os 0.468 0.468 0.000 1
Ru1 Ru 0.750 0.250 0.500 1
# Spin magnetization: 0.252 μB/atom
# N(E_F): 1.246 states/eV per atom
# Calculated formation energy: 377 meV/atom
# Mass density: 16.398 Mg/m³
# E above lowest polymorph: 235.8 meV/atom


> The lowest N(E_F) belongs to which entry?

ZnCrCl2


> The lowest E above lowest polymorph belongs to which entry?

CoOs2Ru